Density functional theory data (GGA-PBE) for crystalline ZnCrMo2 at its relaxed geometry.

abc: 5.372 8.189 2.625
angles: 90.00 90.00 90.00
Fractional coordinates of all 8 atoms:
Zn 0.000 0.000 0.000
Zn 0.500 0.500 0.000
Cr 0.000 0.500 0.000
Cr 0.500 0.000 0.000
Mo 0.250 0.250 0.500
Mo 0.250 0.750 0.500
Mo 0.750 0.250 0.500
Mo 0.750 0.750 0.500

Calculated values
M_tot in μB per formula unit: 0.00
Raw total energy in eV per atom: -7.8716
V in Å³/atom: 14.433
Calculated formation energy in eV per atom: 0.27